# 1
Density functional theory data (PBE-GGA) for a relaxed Na2VAu crystal.

Cell and atoms, written as CIF:
```
data_Na2VAu
_cell_length_a 7.012
_cell_length_b 7.012
_cell_length_c 7.012
_cell_angle_alpha 90.00
_cell_angle_beta 90.00
_cell_angle_gamma 90.00
_symmetry_space_group_name_H-M 'F m -3 m'
_symmetry_Int_Tables_number 225
_symmetry_space_group_name_Hall '-F 4 2 3'
loop_
_atom_site_label
_atom_site_fract_x
_atom_site_fract_y
_atom_site_fract_z
_atom_site_occupancy
Na1 0.250 0.250 0.250 1
V1 0.000 0.000 0.000 1
Au1 0.000 0.000 0.500 1
```

Output
Crystal system ... cubic
Mass density ... 5.7 g/cm3
E above lowest polymorph ... 0.0 meV/atom

***

# 2
Density functional theory data (PBE-GGA) for a relaxed NaV2Au crystal.

Cell and atoms, written as CIF:
```
data_NaV2Au
_cell_length_a 7.539
_cell_length_b 7.539
_cell_length_c 5.175
_cell_angle_alpha 90.00
_cell_angle_beta 90.00
_cell_angle_gamma 90.00
_symmetry_space_group_name_H-M 'I -4 2 d'
_symmetry_Int_Tables_number 122
_symmetry_space_group_name_Hall 'I -4 2bw'
loop_
_atom_site_label
_atom_site_fract_x
_atom_site_fract_y
_atom_site_fract_z
_atom_site_occupancy
Na1 0.000 0.000 0.000 1
V1 0.219 0.250 0.625 1
Au1 0.000 0.000 0.500 1
```

Output
Crystal system ... tetragonal
Mass density ... 7.3 g/cm3
E above lowest polymorph ... 205.9 meV/atom

***

# 3
Density functional theory data (PBE-GGA) for a relaxed Na2VAu2 crystal.

Cell and atoms, written as CIF:
```
data_Na2VAu2
_cell_length_a 5.103
_cell_length_b 5.103
_cell_length_c 8.450
_cell_angle_alpha 90.00
_cell_angle_beta 90.00
_cell_angle_gamma 90.00
_symmetry_space_group_name_H-M 'I 4/m m m'
_symmetry_Int_Tables_number 139
_symmetry_space_group_name_Hall '-I 4 2'
loop_
_atom_site_label
_atom_site_fract_x
_atom_site_fract_y
_atom_site_fract_z
_atom_site_occupancy
Na1 0.000 0.000 0.140 1
V1 0.000 0.000 0.500 1
Au1 0.000 0.500 0.250 1
```

Output
Crystal system ... tetragonal
Mass density ... 7.4 g/cm3
E above lowest polymorph ... 254.8 meV/atom

***

# 4
Density functional theory data (PBE-GGA) for a relaxed Na2VAu2 crystal.

Cell and atoms, written as CIF:
```
data_Na2VAu2
_cell_length_a 8.187
_cell_length_b 8.187
_cell_length_c 2.986
_cell_angle_alpha 90.00
_cell_angle_beta 90.00
_cell_angle_gamma 90.00
_symmetry_space_group_name_H-M 'P 4/m b m'
_symmetry_Int_Tables_number 127
_symmetry_space_group_name_Hall '-P 4 2ab'
loop_
_atom_site_label
_atom_site_fract_x
_atom_site_fract_y
_atom_site_fract_z
_atom_site_occupancy
Na1 0.119 0.381 0.000 1
V1 0.000 0.000 0.000 1
Au1 0.183 0.683 0.500 1
```

Output
Crystal system ... tetragonal
Mass density ... 8.1 g/cm3
E above lowest polymorph ... 0.0 meV/atom

***

# 5
Density functional theory data (PBE-GGA) for a relaxed Na3WAu crystal.

Cell and atoms, written as CIF:
```
data_Na3WAu
_cell_length_a 5.898
_cell_length_b 5.898
_cell_length_c 5.898
_cell_angle_alpha 90.00
_cell_angle_beta 90.00
_cell_angle_gamma 90.00
_symmetry_space_group_name_H-M 'P m -3 m'
_symmetry_Int_Tables_number 221
_symmetry_space_group_name_Hall '-P 4 2 3'
loop_
_atom_site_label
_atom_site_fract_x
_atom_site_fract_y
_atom_site_fract_z
_atom_site_occupancy
Na1 0.000 0.000 0.500 1
W1 0.000 0.000 0.000 1
Au1 0.500 0.500 0.500 1
```

Output
Crystal system ... cubic
Mass density ... 3.6 g/cm3
E above lowest polymorph ... 323.8 meV/atom

***

# 6
Density functional theory data (PBE-GGA) for a relaxed NaWAu2 crystal.

Cell and atoms, written as CIF:
```
data_NaWAu2
_cell_length_a 6.577
_cell_length_b 6.577
_cell_length_c 6.577
_cell_angle_alpha 90.00
_cell_angle_beta 90.00
_cell_angle_gamma 90.00
_symmetry_space_group_name_H-M 'F m -3 m'
_symmetry_Int_Tables_number 225
_symmetry_space_group_name_Hall '-F 4 2 3'
loop_
_atom_site_label
_atom_site_fract_x
_atom_site_fract_y
_atom_site_fract_z
_atom_site_occupancy
Na1 0.000 0.000 0.000 1
W1 0.000 0.000 0.500 1
Au1 0.250 0.250 0.250 1
```

Output
Crystal system ... cubic
Mass density ... 14.0 g/cm3
E above lowest polymorph ... 0.0 meV/atom

***

# 7
Density functional theory data (PBE-GGA) for a relaxed NaWAu2 crystal.

Cell and atoms, written as CIF:
```
data_NaWAu2
_cell_length_a 4.490
_cell_length_b 4.490
_cell_length_c 17.144
_cell_angle_alpha 90.00
_cell_angle_beta 90.00
_cell_angle_gamma 90.00
_symmetry_space_group_name_H-M 'I -4 2 d'
_symmetry_Int_Tables_number 122
_symmetry_space_group_name_Hall 'I -4 2bw'
loop_
_atom_site_label
_atom_site_fract_x
_atom_site_fract_y
_atom_site_fract_z
_atom_site_occupancy
Na1 0.000 0.000 0.000 1
W1 0.000 0.000 0.500 1
Au1 0.230 0.250 0.625 1
```

Output
Crystal system ... tetragonal
Mass density ... 11.5 g/cm3
E above lowest polymorph ... 487.8 meV/atom

***

# 8
Density functional theory data (PBE-GGA) for a relaxed NaW3Au crystal.

Cell and atoms, written as CIF:
```
data_NaW3Au
_cell_length_a 4.934
_cell_length_b 4.934
_cell_length_c 4.934
_cell_angle_alpha 90.00
_cell_angle_beta 90.00
_cell_angle_gamma 90.00
_symmetry_space_group_name_H-M 'P m -3 m'
_symmetry_Int_Tables_number 221
_symmetry_space_group_name_Hall '-P 4 2 3'
loop_
_atom_site_label
_atom_site_fract_x
_atom_site_fract_y
_atom_site_fract_z
_atom_site_occupancy
Na1 0.000 0.000 0.000 1
W1 0.000 0.500 0.500 1
Au1 0.500 0.500 0.500 1
```

Output
Crystal system ... cubic
Mass density ... 10.7 g/cm3
E above lowest polymorph ... 0.0 meV/atom

***

# 9
Density functional theory data (PBE-GGA) for a relaxed NaW3Au crystal.

Cell and atoms, written as CIF:
```
data_NaW3Au
_cell_length_a 4.492
_cell_length_b 4.492
_cell_length_c 4.492
_cell_angle_alpha 90.00
_cell_angle_beta 90.00
_cell_angle_gamma 90.00
_symmetry_space_group_name_H-M 'P m -3 m'
_symmetry_Int_Tables_number 221
_symmetry_space_group_name_Hall '-P 4 2 3'
loop_
_atom_site_label
_atom_site_fract_x
_atom_site_fract_y
_atom_site_fract_z
_atom_site_occupancy
Na1 0.000 0.000 0.000 1
W1 0.000 0.000 0.500 1
Au1 0.500 0.500 0.500 1
```

Output
Crystal system ... cubic
Mass density ... 14.1 g/cm3
E above lowest polymorph ... 210.2 meV/atom

***

# 10
Density functional theory data (PBE-GGA) for a relaxed Na3WAu crystal.

Cell and atoms, written as CIF:
```
data_Na3WAu
_cell_length_a 5.474
_cell_length_b 5.474
_cell_length_c 5.474
_cell_angle_alpha 90.00
_cell_angle_beta 90.00
_cell_angle_gamma 90.00
_symmetry_space_group_name_H-M 'P m -3 m'
_symmetry_Int_Tables_number 221
_symmetry_space_group_name_Hall '-P 4 2 3'
loop_
_atom_site_label
_atom_site_fract_x
_atom_site_fract_y
_atom_site_fract_z
_atom_site_occupancy
Na1 0.000 0.000 0.500 1
W1 0.500 0.500 0.500 1
Au1 0.000 0.000 0.000 1
```

Output
Crystal system ... cubic
Mass density ... 4.6 g/cm3
E above lowest polymorph ... 0.0 meV/atom

***

# 11
Density functional theory data (PBE-GGA) for a relaxed NaWAu3 crystal.

Cell and atoms, written as CIF:
```
data_NaWAu3
_cell_length_a 5.117
_cell_length_b 5.117
_cell_length_c 5.117
_cell_angle_alpha 90.00
_cell_angle_beta 90.00
_cell_angle_gamma 90.00
_symmetry_space_group_name_H-M 'P m -3 m'
_symmetry_Int_Tables_number 221
_symmetry_space_group_name_Hall '-P 4 2 3'
loop_
_atom_site_label
_atom_site_fract_x
_atom_site_fract_y
_atom_site_fract_z
_atom_site_occupancy
Na1 0.000 0.000 0.000 1
W1 0.500 0.500 0.500 1
Au1 0.000 0.500 0.500 1
```

Output
Crystal system ... cubic
Mass density ... 9.9 g/cm3
E above lowest polymorph ... 0.0 meV/atom

***

# 12
Density functional theory data (PBE-GGA) for a relaxed Na3YAu crystal.

Cell and atoms, written as CIF:
```
data_Na3YAu
_cell_length_a 6.536
_cell_length_b 6.536
_cell_length_c 6.536
_cell_angle_alpha 90.00
_cell_angle_beta 90.00
_cell_angle_gamma 90.00
_symmetry_space_group_name_H-M 'P m -3 m'
_symmetry_Int_Tables_number 221
_symmetry_space_group_name_Hall '-P 4 2 3'
loop_
_atom_site_label
_atom_site_fract_x
_atom_site_fract_y
_atom_site_fract_z
_atom_site_occupancy
Na1 0.000 0.000 0.500 1
Y1 0.000 0.000 0.000 1
Au1 0.500 0.500 0.500 1
```

Output
Crystal system ... cubic
Mass density ... 2.1 g/cm3
E above lowest polymorph ... 780.2 meV/atom

***

# 13
Density functional theory data (PBE-GGA) for a relaxed NaY2Au4 crystal.

Cell and atoms, written as CIF:
```
data_NaY2Au4
_cell_length_a 4.910
_cell_length_b 4.910
_cell_length_c 14.899
_cell_angle_alpha 90.00
_cell_angle_beta 90.00
_cell_angle_gamma 90.00
_symmetry_space_group_name_H-M 'I 4/m m m'
_symmetry_Int_Tables_number 139
_symmetry_space_group_name_Hall '-I 4 2'
loop_
_atom_site_label
_atom_site_fract_x
_atom_site_fract_y
_atom_site_fract_z
_atom_site_occupancy
Na1 0.000 0.000 0.000 1
Y1 0.000 0.000 0.370 1
Au1 0.000 0.000 0.181 1
Au2 0.000 0.500 0.000 1
```

Output
Crystal system ... tetragonal
Mass density ... 9.1 g/cm3
E above lowest polymorph ... 397.5 meV/atom

***

# 14
Density functional theory data (PBE-GGA) for a relaxed NaYAu2 crystal.

Cell and atoms, written as CIF:
```
data_NaYAu2
_cell_length_a 2.967
_cell_length_b 5.665
_cell_length_c 11.295
_cell_angle_alpha 90.00
_cell_angle_beta 90.00
_cell_angle_gamma 90.00
_symmetry_space_group_name_H-M 'I m m m'
_symmetry_Int_Tables_number 71
_symmetry_space_group_name_Hall '-I 2 2'
loop_
_atom_site_label
_atom_site_fract_x
_atom_site_fract_y
_atom_site_fract_z
_atom_site_occupancy
Na1 0.000 0.000 0.000 1
Y1 0.000 0.000 0.500 1
Au1 0.000 0.000 0.247 1
```

Output
Crystal system ... orthorhombic
E_tot ... -3.31 eV/atom
Mass density ... 8.8 g/cm3

***

# 15
Density functional theory data (PBE-GGA) for a relaxed NaYAu2 crystal.

Cell and atoms, written as CIF:
```
data_NaYAu2
_cell_length_a 4.0036
_cell_length_b 4.0036
_cell_length_c 22.8261
_cell_angle_alpha 90.00
_cell_angle_beta 90.00
_cell_angle_gamma 120.00
_symmetry_space_group_name_H-M 'R -3 m'
_symmetry_Int_Tables_number 166
_symmetry_space_group_name_Hall '-R 3 2"'
loop_
_atom_site_label
_atom_site_fract_x
_atom_site_fract_y
_atom_site_fract_z
_atom_site_occupancy
Na1 0.0000 0.0000 0.0000 1
Y1 0.0000 0.0000 0.5000 1
Au1 0.0000 0.0000 0.2450 1
```

Output
Crystal system ... trigonal
E_tot ... -4.05 eV/atom
Mass density ... 8.0 g/cm3

***

# 16
Density functional theory data (PBE-GGA) for a relaxed NaYAu2 crystal.

Cell and atoms, written as CIF:
```
data_NaYAu2
_cell_length_a 3.593
_cell_length_b 3.593
_cell_length_c 7.324
_cell_angle_alpha 90.00
_cell_angle_beta 90.00
_cell_angle_gamma 90.00
_symmetry_space_group_name_H-M 'P 4/m m m'
_symmetry_Int_Tables_number 123
_symmetry_space_group_name_Hall '-P 4 2'
loop_
_atom_site_label
_atom_site_fract_x
_atom_site_fract_y
_atom_site_fract_z
_atom_site_occupancy
Na1 0.000 0.000 0.000 1
Y1 0.000 0.000 0.500 1
Au1 0.500 0.500 0.276 1
```

Output
Crystal system ... tetragonal
E_tot ... -4.18 eV/atom
Mass density ... 8.9 g/cm3

***

# 17
Density functional theory data (PBE-GGA) for a relaxed Na3YAu crystal.

Cell and atoms, written as CIF:
```
data_Na3YAu
_cell_length_a 5.509
_cell_length_b 5.509
_cell_length_c 5.509
_cell_angle_alpha 90.00
_cell_angle_beta 90.00
_cell_angle_gamma 90.00
_symmetry_space_group_name_H-M 'P m -3 m'
_symmetry_Int_Tables_number 221
_symmetry_space_group_name_Hall '-P 4 2 3'
loop_
_atom_site_label
_atom_site_fract_x
_atom_site_fract_y
_atom_site_fract_z
_atom_site_occupancy
Na1 0.000 0.000 0.500 1
Y1 0.500 0.500 0.500 1
Au1 0.000 0.000 0.000 1
```

Output
Crystal system ... cubic
Mass density ... 3.5 g/cm3
E above lowest polymorph ... 0.0 meV/atom

***

# 18
Density functional theory data (PBE-GGA) for a relaxed NaY2Au4 crystal.

Cell and atoms, written as CIF:
```
data_NaY2Au4
_cell_length_a 9.168
_cell_length_b 4.639
_cell_length_c 8.182
_cell_angle_alpha 90.00
_cell_angle_beta 108.26
_cell_angle_gamma 90.00
_symmetry_space_group_name_H-M 'C 1 2/m 1'
_symmetry_Int_Tables_number 12
loop_
_symmetry_equiv_pos_as_xyz
'x,y,z'
'-x,-y,-z'
'-x,y,-z'
'x,-y,z'
'x+1/2,y+1/2,z'
'-x+1/2,-y+1/2,-z'
'-x+1/2,y+1/2,-z'
'x+1/2,-y+1/2,z'
loop_
_atom_site_label
_atom_site_fract_x
_atom_site_fract_y
_atom_site_fract_z
_atom_site_occupancy
Na1 0.000 0.000 0.000 1
Y1 0.224 0.500 0.275 1
Au1 0.068 0.000 0.365 1
Au2 0.136 0.500 0.868 1
```

Output
Crystal system ... monoclinic
Mass density ... 9.9 g/cm3
E above lowest polymorph ... 0.0 meV/atom

***

# 19
Density functional theory data (PBE-GGA) for a relaxed NaYAu2 crystal.

Cell and atoms, written as CIF:
```
data_NaYAu2
_cell_length_a 7.763
_cell_length_b 7.763
_cell_length_c 6.610
_cell_angle_alpha 90.00
_cell_angle_beta 90.00
_cell_angle_gamma 90.00
_symmetry_space_group_name_H-M 'I -4 2 d'
_symmetry_Int_Tables_number 122
_symmetry_space_group_name_Hall 'I -4 2bw'
loop_
_atom_site_label
_atom_site_fract_x
_atom_site_fract_y
_atom_site_fract_z
_atom_site_occupancy
Na1 0.000 0.000 0.000 1
Y1 0.000 0.000 0.500 1
Au1 0.249 0.250 0.125 1
```

Output
Crystal system ... tetragonal
E_tot ... -3.85 eV/atom
Mass density ... 8.4 g/cm3

***

# 20
Density functional theory data (PBE-GGA) for a relaxed Na2YAu crystal.

Cell and atoms, written as CIF:
```
data_Na2YAu
_cell_length_a 7.273
_cell_length_b 7.273
_cell_length_c 7.273
_cell_angle_alpha 90.00
_cell_angle_beta 90.00
_cell_angle_gamma 90.00
_symmetry_space_group_name_H-M 'F m -3 m'
_symmetry_Int_Tables_number 225
_symmetry_space_group_name_Hall '-F 4 2 3'
loop_
_atom_site_label
_atom_site_fract_x
_atom_site_fract_y
_atom_site_fract_z
_atom_site_occupancy
Na1 0.250 0.250 0.250 1
Y1 0.000 0.000 0.000 1
Au1 0.000 0.000 0.500 1
```

Output
Crystal system ... cubic
Mass density ... 5.7 g/cm3
E above lowest polymorph ... 83.0 meV/atom